A plane-wave DFT calculation with GGA+U was carried out for VFe2F after structural relaxation.

Crystal system: cubic
VASP energy in eV/cell: -68.80
ΔE to the lowest computed polymorph in meV/atom: 637

Lattice parameters (Å, degrees): 6.2220 6.2220 6.2220 90.00 90.00 90.00
Space group Fm-3m (No. 225)
Unique sites:
V 0.0000 0.0000 0.0000
Fe 0.2500 0.2500 0.2500
F 0.0000 0.0000 0.5000